Record 1
The following is a DFT calculation (PBE) of crystalline NiBPt2 at its relaxed geometry.

Output
- Final energy: -22.19 eV per cell
- Space group: F-43m, No. 216
- Total magnetization: 0.004 μB per atom

Unit cell a=4.1801 b=4.1801 c=4.1801 alpha=60.00 beta=60.00 gamma=60.00
Closest atoms and distances in Å follow each position.
Fractional coordinates of all 4 atoms:
B  0.5000  0.5000  0.5000  4 Pt 2.56, 4 Ni 2.56
Pt  0.0000  0.0000  0.0000  4 Ni 2.56, 4 Pt 2.56
Pt  0.7500  0.7500  0.7500  4 B 2.56, 4 Pt 2.56
Ni  0.2500  0.2500  0.2500  4 Pt 2.56, 4 B 2.56



Record 2
The following is a DFT calculation (PBE) of crystalline GaCo7 at its relaxed geometry.

Output
- Final energy: -104.17 eV per cell
- Space group: Pmmn, No. 59
- Total magnetization: 0.903 μB per atom

Unit cell a=2.5016 b=3.4871 c=33.1961 alpha=90.00 beta=90.00 gamma=90.00
Closest atoms and distances in Å follow each position.
Fractional coordinates of all 16 atoms:
Co  0.5000  0.5000  0.0559  12 Co 2.47-2.50
Co  0.5000  0.5000  0.2043  11 Co 2.44-2.50, 1 Ga 2.56
Co  0.0000  0.0000  0.7957  11 Co 2.44-2.50, 1 Ga 2.56
Co  0.5000  0.5000  0.9064  12 Co 2.48-2.50
Co  0.0000  0.0000  0.1685  12 Co 2.45-2.50
Co  0.0000  0.0000  0.9441  12 Co 2.47-2.50
Co  0.5000  0.5000  0.7572  7 Co 2.47-2.50, 4 Ga 2.50
Co  0.5000  0.5000  0.8315  12 Co 2.45-2.50
Co  0.0000  0.0000  0.0936  12 Co 2.48-2.50
Co  0.5000  0.5000  0.1308  12 Co 2.44-2.50
Co  0.0000  0.0000  0.0185  12 Co 2.47-2.50
Co  0.0000  0.0000  0.2428  7 Co 2.47-2.50, 4 Ga 2.50
Co  0.0000  0.0000  0.8692  12 Co 2.44-2.50
Co  0.5000  0.5000  0.9815  12 Co 2.47-2.50
Ga  0.0000  0.0000  0.7184  2 Ga 2.50, 5 Co 2.50-2.56
Ga  0.5000  0.5000  0.2816  2 Ga 2.50, 5 Co 2.50-2.56



Record 3
The following is a DFT calculation (PBE) of crystalline KSmO3 at its relaxed geometry.

Output
- Final energy: -59.01 eV per cell
- Space group: R-3, No. 148
- Total magnetization: 0.400 μB per atom

Unit cell a=6.4892 b=6.4892 c=6.2883 alpha=58.94 beta=58.94 gamma=60.00
Closest atoms and distances in Å follow each position.
Fractional coordinates of all 10 atoms:
O  0.4551  0.8218  0.7206  2 Sm 2.27-2.30
O  0.5449  0.1782  0.2794  2 Sm 2.27-2.30
O  0.1782  0.9974  0.2794  2 Sm 2.27-2.30
O  0.8218  0.0026  0.7206  2 Sm 2.27-2.30
O  0.9974  0.5449  0.2794  2 Sm 2.27-2.30
O  0.0026  0.4551  0.7206  2 Sm 2.27-2.30
K  0.6201  0.6201  0.1398  6 O 2.75-2.79
K  0.3799  0.3799  0.8602  6 O 2.75-2.79
Sm  0.1466  0.1466  0.5603  6 O 2.27-2.30
Sm  0.8534  0.8534  0.4397  6 O 2.27-2.30